Entry 1:
TaInHg2 | PBE | relaxed

abc: 3.0334 3.0334 9.5941
angles: 90.00 90.00 90.00
Space group P4/mmm (No. 123)
One atom of each set of equivalent atoms:
Ta 0.0000 0.0000 0.0000 [1 per cell]
In 0.0000 0.0000 0.5000 [1 per cell]
Hg 0.5000 0.5000 0.2207 [2 per cell]

Values from the calculation:
E, eV for the cell shown: -13.81
N(E_F), states/eV/f.u.: 2.524
Calculated formation energy, meV per atom: 344.9

***

Entry 2:
Ta2InHg | PBE | relaxed

abc: 3.4459 4.9965 9.4710
angles: 90.00 90.00 90.00
Space group Cmm2 (No. 35)
One atom of each set of equivalent atoms:
Ta 0.0000 0.0000 0.0000 [2 per cell]
Ta 0.0000 0.5000 0.2245 [2 per cell]
In 0.0000 0.5000 0.7461 [2 per cell]
Hg 0.0000 0.0000 0.4765 [2 per cell]

Values from the calculation:
E, eV for the cell shown: -51.86
N(E_F), states/eV/f.u.: 1.957
Calculated formation energy, meV per atom: 203.8

***

Entry 3:
TaInHg2 | PBE | relaxed

abc: 5.3022 5.3022 3.0725
angles: 90.00 90.00 90.00
Space group P4/mmm (No. 123)
One atom of each set of equivalent atoms:
Ta 0.0000 0.0000 0.0000 [1 per cell]
In 0.5000 0.5000 0.0000 [1 per cell]
Hg 0.0000 0.5000 0.5000 [2 per cell]

Values from the calculation:
E, eV for the cell shown: -13.29
N(E_F), states/eV/f.u.: 3.476
Calculated formation energy, meV per atom: 475.7

***

Entry 4:
TaInHg | PBE | relaxed

abc: 3.1079 3.1079 7.5215
angles: 90.00 90.00 120.00
Space group P3m1 (No. 156)
One atom of each set of equivalent atoms:
Ta 0.0000 0.0000 0.0000 [1 per cell]
In 0.6667 0.3333 0.6770 [1 per cell]
Hg 0.3333 0.6667 0.3231 [1 per cell]

Values from the calculation:
Energy above the most stable polymorph in this dataset, meV per atom: 0
E, eV for the cell shown: -13.88
N(E_F), states/eV/f.u.: 2.759
Calculated formation energy, meV per atom: 336.9

***

Entry 5:
TaIn4Hg | PBE | relaxed

abc: 8.2950 8.2950 8.2950
angles: 90.00 90.00 90.00
Space group F-43m (No. 216)
One atom of each set of equivalent atoms:
Ta 0.0000 0.0000 0.0000 [4 per cell]
In 0.1250 0.1250 0.3750 [16 per cell]
Hg 0.2500 0.2500 0.7500 [4 per cell]

Values from the calculation:
E, eV for the cell shown: -77.48
N(E_F), states/eV/f.u.: 4.213
Calculated formation energy, meV per atom: 623.0

***

Entry 6:
TaInHg2 | PBE | relaxed

abc: 7.0401 7.0401 7.0401
angles: 90.00 90.00 90.00
Space group F-43m (No. 216)
One atom of each set of equivalent atoms:
Ta 0.0000 0.0000 0.0000 [4 per cell]
In 0.2500 0.2500 0.7500 [4 per cell]
Hg 0.0000 0.0000 0.5000 [4 per cell]
Hg 0.2500 0.2500 0.2500 [4 per cell]

Values from the calculation:
E, eV for the cell shown: -49.53
N(E_F), states/eV/f.u.: 2.384
Calculated formation energy, meV per atom: 702.8

***

Entry 7:
Ta2InHg | PBE | relaxed

abc: 7.6733 7.6733 5.7539
angles: 90.00 90.00 90.00
Space group I-42d (No. 122)
One atom of each set of equivalent atoms:
Ta 0.2462 0.2500 0.1250 [8 per cell]
In 0.0000 0.0000 0.5000 [4 per cell]
Hg 0.0000 0.0000 0.0000 [4 per cell]

Values from the calculation:
E, eV for the cell shown: -94.84
N(E_F), states/eV/f.u.: 1.886
Calculated formation energy, meV per atom: 758.7

***

Entry 8:
Ta2InHg | PBE | relaxed

abc: 4.1231 4.1231 4.5482
angles: 90.00 90.00 90.00
Space group P4/mmm (No. 123)
One atom of each set of equivalent atoms:
Ta 0.0000 0.5000 0.0000 [2 per cell]
In 0.0000 0.0000 0.5000 [1 per cell]
Hg 0.5000 0.5000 0.5000 [1 per cell]

Values from the calculation:
E, eV for the cell shown: -25.62
N(E_F), states/eV/f.u.: 2.174
Calculated formation energy, meV per atom: 280.8

***

Entry 9:
Ta2InHg | PBE | relaxed

abc: 3.6594 3.6594 5.8384
angles: 90.00 90.00 90.00
Space group P4/mmm (No. 123)
One atom of each set of equivalent atoms:
Ta 0.0000 0.0000 0.2447 [2 per cell]
In 0.5000 0.5000 0.0000 [1 per cell]
Hg 0.5000 0.5000 0.5000 [1 per cell]

Values from the calculation:
E, eV for the cell shown: -24.76
N(E_F), states/eV/f.u.: 2.619
Calculated formation energy, meV per atom: 497.5

***

Entry 10:
Ta2InHg | PBE | relaxed

abc: 2.9875 4.7332 5.5946
angles: 90.00 96.01 90.00
Space group Pm (No. 6)
One atom of each set of equivalent atoms:
Ta 0.0000 0.0000 0.0000 [1 per cell]
Ta 0.1893 0.5000 0.7343 [1 per cell]
In 0.5983 0.0000 0.5166 [1 per cell]
Hg 0.5717 0.5000 0.2235 [1 per cell]

Values from the calculation:
E, eV for the cell shown: -25.49
N(E_F), states/eV/f.u.: 2.214
Calculated formation energy, meV per atom: 314.8

***

Entry 11:
TaIn2Hg | PBE | relaxed

abc: 7.8588 7.8588 6.0034
angles: 90.00 90.00 90.00
Space group I-42d (No. 122)
One atom of each set of equivalent atoms:
Ta 0.0000 0.0000 0.0000 [4 per cell]
In 0.2459 0.7500 0.6250 [8 per cell]
Hg 0.0000 0.0000 0.5000 [4 per cell]

Values from the calculation:
E, eV for the cell shown: -60.30
N(E_F), states/eV/f.u.: 4.145
Calculated formation energy, meV per atom: 638.9

***

Entry 12:
Ta2InHg | PBE | relaxed

abc: 10.2049 3.3815 4.7755
angles: 90.00 106.96 90.00
Space group C2/m (No. 12)
One atom of each set of equivalent atoms:
Ta 0.2493 0.0000 0.2445 [4 per cell]
In 0.0000 0.0000 0.5000 [2 per cell]
Hg 0.0000 0.5000 0.0000 [2 per cell]

Values from the calculation:
E, eV for the cell shown: -50.93
N(E_F), states/eV/f.u.: 2.609
Calculated formation energy, meV per atom: 320.7

***

Entry 13:
TaInHg | PBE | relaxed

abc: 2.9948 3.9366 10.6418
angles: 90.00 90.00 90.00
Space group Imm2 (No. 44)
One atom of each set of equivalent atoms:
Ta 0.0000 0.0000 0.0000 [2 per cell]
In 0.0000 0.0000 0.6606 [2 per cell]
Hg 0.0000 0.0000 0.3399 [2 per cell]

Values from the calculation:
Energy above the most stable polymorph in this dataset, meV per atom: 158
E, eV for the cell shown: -26.82
N(E_F), states/eV/f.u.: 2.198
Calculated formation energy, meV per atom: 494.6

***

Entry 14:
TaIn2Hg | PBE | relaxed

abc: 6.1861 8.8947 3.0868
angles: 90.00 90.00 90.00
Space group Cmmm (No. 65)
One atom of each set of equivalent atoms:
Ta 0.0000 0.0000 0.0000 [2 per cell]
In 0.2500 0.2500 0.5000 [4 per cell]
Hg 0.0000 0.5000 0.0000 [2 per cell]

Values from the calculation:
E, eV for the cell shown: -33.22
N(E_F), states/eV/f.u.: 1.677
Calculated formation energy, meV per atom: 254.8

***

Entry 15:
TaIn2Hg | PBE | relaxed

abc: 7.1110 7.1110 7.1110
angles: 90.00 90.00 90.00
Space group F-43m (No. 216)
One atom of each set of equivalent atoms:
Ta 0.0000 0.0000 0.0000 [4 per cell]
In 0.0000 0.0000 0.5000 [4 per cell]
In 0.2500 0.2500 0.7500 [4 per cell]
Hg 0.2500 0.2500 0.2500 [4 per cell]

Values from the calculation:
E, eV for the cell shown: -59.39
N(E_F), states/eV/f.u.: 3.466
Calculated formation energy, meV per atom: 695.7

***

Entry 16:
Ta2InHg | PBE | relaxed

abc: 3.6021 3.6021 6.2419
angles: 90.00 90.00 90.00
Space group P4mm (No. 99)
One atom of each set of equivalent atoms:
Ta 0.0000 0.0000 0.0000 [1 per cell]
Ta 0.5000 0.5000 0.1871 [1 per cell]
In 0.5000 0.5000 0.7203 [1 per cell]
Hg 0.0000 0.0000 0.4703 [1 per cell]

Values from the calculation:
E, eV for the cell shown: -25.67
N(E_F), states/eV/f.u.: 1.798
Calculated formation energy, meV per atom: 269.0

***

Entry 17:
Ta2InHg | PBE | relaxed

abc: 4.1680 4.1680 8.9968
angles: 90.00 90.00 90.00
Space group I-4m2 (No. 119)
One atom of each set of equivalent atoms:
Ta 0.0000 0.0000 0.0000 [2 per cell]
Ta 0.0000 0.5000 0.2500 [2 per cell]
In 0.0000 0.0000 0.5000 [2 per cell]
Hg 0.0000 0.5000 0.7500 [2 per cell]

Values from the calculation:
E, eV for the cell shown: -50.39
N(E_F), states/eV/f.u.: 2.712
Calculated formation energy, meV per atom: 387.2

***

Entry 18:
TaInHg | PBE | relaxed

abc: 2.9902 2.9902 13.9694
angles: 90.00 90.00 90.00
Space group I4mm (No. 107)
One atom of each set of equivalent atoms:
Ta 0.0000 0.0000 0.0000 [2 per cell]
In 0.0000 0.0000 0.6575 [2 per cell]
Hg 0.0000 0.0000 0.3425 [2 per cell]

Values from the calculation:
Energy above the most stable polymorph in this dataset, meV per atom: 14
E, eV for the cell shown: -27.68
N(E_F), states/eV/f.u.: 1.482
Calculated formation energy, meV per atom: 350.9

***

Entry 19:
TaInHg2 | PBE | relaxed

abc: 4.3339 4.3339 4.3777
angles: 90.00 90.00 90.00
Space group P4/mmm (No. 123)
One atom of each set of equivalent atoms:
Ta 0.0000 0.0000 0.0000 [1 per cell]
In 0.5000 0.5000 0.0000 [1 per cell]
Hg 0.0000 0.5000 0.5000 [2 per cell]

Values from the calculation:
E, eV for the cell shown: -13.70
N(E_F), states/eV/f.u.: 1.492
Calculated formation energy, meV per atom: 374.0

***

Entry 20:
TaInHg2 | PBE | relaxed

abc: 3.0506 5.2159 5.4262
angles: 90.00 91.08 90.00
Space group P2/m (No. 10)
One atom of each set of equivalent atoms:
Ta 0.0000 0.0000 0.0000 [1 per cell]
In 0.5000 0.0000 0.5000 [1 per cell]
Hg 0.2768 0.5000 0.2348 [2 per cell]

Values from the calculation:
E, eV for the cell shown: -13.56
N(E_F), states/eV/f.u.: 2.954
Calculated formation energy, meV per atom: 409.3